Computed, not measured: a relaxed TaCrOs2 crystal at the PBE-GGA level of DFT.

Geometry as extended XYZ:
```
4
Lattice="0.000 3.092 3.092 3.092 0.000 3.092 3.092 3.092 0.000" Properties=species:S:1:pos:R:3 pbc="T T T"
Ta 0.000 0.000 0.000
Cr 1.546 1.546 1.546
Os 3.092 3.092 3.092
Os 4.638 4.638 4.638
```

Calculated values
**E_form**: 0.19 eV per atom
**Crystal system**: cubic
**Space-group type**: F-43m
**M_tot**: 0.001 μB per atom